No. 1
NdTcP2: optimized geometry, PBE-GGA.

Cell lengths 3.9549, 3.9549, 10.2590 Å; angles 90.00, 90.00, 90.00 degrees
Last column: nearest neighbours and their distance in Å.
Space group I-4m2 (No. 119)
Unique sites:
Nd (0.0000, 0.0000, 0.0000) [2 per cell]  8 P 3.11, 4 Tc 3.24
Tc (0.0000, 0.5000, 0.7500) [2 per cell]  4 P 2.31
P (0.0000, 0.0000, 0.3671) [4 per cell]  2 Tc 2.31

- Formation energy from the elements: -0.684 eV per atom
- Energy relative to the lowest polymorph listed for this composition: 179.0 meV/atom



No. 2
SnHSe: optimized geometry, PBE-GGA.

Cell lengths 4.6880, 4.1011, 7.1566 Å; angles 90.00, 102.63, 90.00 degrees
Last column: nearest neighbours and their distance in Å.
Space group Pm (No. 6)
Unique sites:
Sn (0.0000, 0.0000, 0.0000) [1 per cell]  1 H 1.94
Sn (0.4167, 0.0000, 0.5352) [1 per cell]  1 H 1.92
H (0.7531, 0.0000, 0.7447) [1 per cell]  2 Sn 1.92-1.94
H (0.9539, 0.5000, 0.5958) [1 per cell]  1 Se 1.54
Se (0.3041, 0.5000, 0.8751) [1 per cell]  1 H 2.29
Se (0.7367, 0.5000, 0.3999) [1 per cell]  1 H 1.54

- Energy: -3.7276 eV/atom



No. 3
Mn3CuCl8: optimized geometry, PBE-GGA.

Cell lengths 12.4403, 7.4670, 7.7985 Å; angles 90.00, 124.88, 90.00 degrees
Last column: nearest neighbours and their distance in Å.
Space group C2/m (No. 12)
Unique sites:
Mn (0.0000, 0.0000, 0.0000) [2 per cell]  6 Cl 2.51-2.54
Mn (0.2500, 0.2500, 0.0000) [4 per cell]  6 Cl 2.44-2.58
Cu (0.0000, 0.5000, 0.0000) [2 per cell]  2 Cl 2.33
Cl (0.0107, 0.2381, 0.7838) [8 per cell]  2 Mn 2.44-2.51, 1 Cu 2.63
Cl (0.2280, 0.5000, 0.2055) [4 per cell]  1 Cu 2.33, 2 Mn 2.58
Cl (0.2488, 0.0000, 0.2224) [4 per cell]  3 Mn 2.54-2.55

- Energy: -4.7889 eV/atom



No. 4
LiLa2Hg: optimized geometry, PBE-GGA.

Cell lengths 3.6124, 4.9707, 6.6828 Å; angles 90.00, 105.62, 90.00 degrees
Last column: nearest neighbours and their distance in Å.
Space group Pm (No. 6)
Unique sites:
Li (0.0000, 0.0000, 0.0000) [1 per cell]  2 Hg 2.91
La (0.3990, 0.5000, 0.7976) [1 per cell]  4 Li 3.34, 3 Hg 3.35-3.62, 2 La 3.61
La (0.7212, 0.0000, 0.4428) [1 per cell]  4 Hg 3.35, 3 Li 3.37-3.59, 2 La 3.61
Hg (0.1181, 0.5000, 0.2357) [1 per cell]  2 Li 2.91

- Formation energy from the elements: -0.214 eV per atom



No. 5
ReNi2W: optimized geometry, PBE-GGA.

Cell lengths 3.1816, 3.1816, 5.2397 Å; angles 90.00, 90.00, 90.00 degrees
Last column: nearest neighbours and their distance in Å.
Space group P4/mmm (No. 123)
Unique sites:
Re (0.0000, 0.0000, 0.0000) [1 per cell]  8 Ni 2.61, 2 W 2.62
Ni (0.5000, 0.5000, 0.2511) [2 per cell]  4 W 2.60, 4 Re 2.61, 2 Ni 2.61-2.63
W (0.0000, 0.0000, 0.5000) [1 per cell]  8 Ni 2.60, 2 Re 2.62

- Formation energy from the elements: 0.225 eV per atom



No. 6
Ba5AlAs8: optimized geometry, PBE-GGA.

Cell lengths 10.0277, 10.0277, 9.9599 Å; angles 90.00, 90.00, 90.00 degrees
Last column: nearest neighbours and their distance in Å.
Space group I-4 (No. 82)
Unique sites:
Ba (0.0000, 0.0000, 0.0000) [2 per cell]  8 As 3.14-3.34
Ba (0.1911, 0.7622, 0.6131) [8 per cell]  7 As 3.25-3.56
Al (0.0000, 0.5000, 0.2500) [2 per cell]  4 As 2.49
As (0.0267, 0.2827, 0.1319) [8 per cell]  1 Al 2.49, 1 As 2.64
As (0.0665, 0.8899, 0.3092) [8 per cell]  2 As 2.58-2.64

- Formation energy from the elements: -0.755 eV per atom



No. 7
Ac4TeP2: optimized geometry, PBE-GGA.

Cell lengths 4.4208, 4.4208, 44.9758 Å; angles 90.00, 90.00, 120.00 degrees
Last column: nearest neighbours and their distance in Å.
Space group R-3m (No. 166, hexagonal axes)
Unique sites:
Ac (0.0000, 0.0000, 0.1265) [6 per cell]  3 P 3.10
Ac (0.0000, 0.0000, 0.2835) [6 per cell]  3 P 3.06, 3 Te 3.40
Te (0.0000, 0.0000, 0.0000) [3 per cell]  6 Ac 3.40
P (0.0000, 0.0000, 0.4208) [6 per cell]  6 Ac 3.06-3.10

- Energy: -5.5963 eV/atom



No. 8
V3Os2Ru: optimized geometry, PBE-GGA.

Cell lengths 4.2764, 12.8480, 6.0091 Å; angles 90.00, 90.00, 90.00 degrees
Last column: nearest neighbours and their distance in Å.
Space group Cmmm (No. 65)
Unique sites:
V (0.0000, 0.0000, 0.2490) [4 per cell]  6 Os 2.61-2.63, 2 Ru 2.66
V (0.0000, 0.3359, 0.2512) [8 per cell]  5 Os 2.58-2.62, 3 Ru 2.60-2.62
Os (0.0000, 0.1682, 0.5000) [4 per cell]  8 V 2.61-2.63
Os (0.0000, 0.5000, 0.0000) [2 per cell]  8 V 2.59-2.61
Os (0.0000, 0.5000, 0.5000) [2 per cell]  8 V 2.58-2.62
Ru (0.0000, 0.1708, 0.0000) [4 per cell]  8 V 2.60-2.66

- Formation energy from the elements: -0.237 eV per atom
- Energy relative to the lowest polymorph listed for this composition: 0.0 meV/atom



No. 9
CaHo2Er: optimized geometry, PBE-GGA.

Cell lengths 3.5665, 3.5665, 35.8838 Å; angles 90.00, 90.00, 120.00 degrees
Last column: nearest neighbours and their distance in Å.
Space group R3m (No. 160, hexagonal axes)
Unique sites:
Ca (0.0000, 0.0000, 0.0000) [3 per cell]  6 Ca 3.57, 6 Ho 3.77-3.81
Ho (0.0000, 0.0000, 0.2452) [3 per cell]  3 Er 3.46, 6 Ho 3.57, 3 Ca 3.77
Ho (0.0000, 0.0000, 0.4226) [3 per cell]  3 Er 3.48, 6 Ho 3.57, 3 Ca 3.81
Er (0.0000, 0.0000, 0.8342) [3 per cell]  6 Ho 3.46-3.48, 6 Er 3.57

- Formation energy from the elements: 0.067 eV per atom
- Energy relative to the lowest polymorph listed for this composition: 0.0 meV/atom



No. 10
AcCu2SnSe4: optimized geometry, PBE-GGA.

Cell lengths 6.9728, 7.3586, 7.9924 Å; angles 90.00, 90.00, 90.00 degrees
Last column: nearest neighbours and their distance in Å.
Space group I222 (No. 23)
Unique sites:
Ac (0.0000, 0.0000, 0.0000) [2 per cell]  8 Se 3.22-3.32
Cu (0.0000, 0.5000, 0.1646) [4 per cell]  2 Se 2.34
Sn (0.0000, 0.0000, 0.5000) [2 per cell]  4 Se 2.78
Se (0.2460, 0.2039, 0.3016) [8 per cell]  1 Cu 2.34

- Energy: -4.4760 eV/atom



No. 11
Tl2HgBiS4: optimized geometry, PBE-GGA.

Cell lengths 7.1565, 4.0860, 7.3609 Å; angles 90.00, 109.55, 90.00 degrees
Last column: nearest neighbours and their distance in Å.
Space group P2/m (No. 10)
Unique sites:
Tl (0.0000, 0.0000, 0.0000) [1 per cell]  6 S 3.03-3.09
Tl (0.5000, 0.5000, 0.0000) [1 per cell]  6 S 3.04-3.07
Hg (0.0000, 0.5000, 0.5000) [1 per cell]  6 S 2.80-2.90
Bi (0.5000, 0.0000, 0.5000) [1 per cell]  6 S 2.83-2.85
S (0.2375, 0.0000, 0.7181) [2 per cell]  2 Hg 2.80, 1 Bi 2.85, 3 Tl 3.07-3.09
S (0.2615, 0.5000, 0.2721) [2 per cell]  2 Bi 2.83, 1 Hg 2.90, 3 Tl 3.03-3.04

- Energy: -3.4065 eV/atom



No. 12
Ta2CrCuI: optimized geometry, PBE-GGA.

Cell lengths 4.7740, 4.7740, 4.3609 Å; angles 90.00, 90.00, 90.00 degrees
Last column: nearest neighbours and their distance in Å.
Space group P4/mmm (No. 123)
Unique sites:
Ta (0.0000, 0.5000, 0.0000) [2 per cell]  2 Cu 2.39
Cr (0.0000, 0.0000, 0.5000) [1 per cell]  2 Cu 2.18
Cu (0.0000, 0.0000, 0.0000) [1 per cell]  2 Cr 2.18, 4 Ta 2.39
I (0.5000, 0.5000, 0.5000) [1 per cell]  8 Ta 3.23, 4 Cr 3.38

- Energy: -6.2363 eV/atom



| no. | calculated volume (Å³ per atom) |
| --- | --- |
| 1 | 20.1 |
| 2 | 22.4 |
| 3 | 24.8 |
| 4 | 28.9 |
| 5 | 13.3 |
| 6 | 35.8 |
| 7 | 36.2 |
| 8 | 13.8 |
| 9 | 32.9 |
| 10 | 25.6 |
| 11 | 25.4 |
| 12 | 19.9 |